## DySbH (GGA-PBE)

Data for an optimized crystal structure of DySbH.

Lattice parameters (Å, degrees): 4.6907 3.7569 3.7569 120.00 90.00 90.00
With the nearest neighbours (Å) after each atom.
Sites, in units of the cell vectors:
Sb  0.6667  0.3333  0.6667  6 H 3.19, 6 Dy 3.19
H  0.1667  0.0000  0.0000  3 Dy 2.17
Dy  0.1666  0.6667  0.3333  3 H 2.17

Values from the calculation:
space group = No. 187
VASP energy = -4.7585 eV per atom

---

## TaWAu2 (GGA-PBE)

Data for an optimized crystal structure of TaWAu2.

Lattice parameters (Å, degrees): 5.5088 5.5088 5.5088 147.20 127.31 63.47
With the nearest neighbours (Å) after each atom.
Sites, in units of the cell vectors:
Au  0.9948  0.9948  0.0000  2 W 2.86, 4 Au 2.88-3.11, 4 Ta 2.90
Au  0.2536  0.7536  0.5000  2 Ta 2.88, 4 Au 2.88-3.11, 4 W 2.90
Ta  0.5123  0.5123  0.0000  2 W 2.63, 6 Au 2.88-2.90
W  0.7393  0.2393  0.5000  2 Ta 2.63, 6 Au 2.86-2.90

Values from the calculation:
space group = No. 44
VASP energy = -7.5089 eV per atom

---

## Mn2Tl2Te2Se (GGA-PBE)

Data for an optimized crystal structure of Mn2Tl2Te2Se.

Lattice parameters (Å, degrees): 4.9068 4.9068 9.4178 105.10 105.10 90.00
With the nearest neighbours (Å) after each atom.
Sites, in units of the cell vectors:
Mn  0.0000  0.5000  0.0000  2 Se 2.45
Mn  0.5000  0.0000  0.0000  2 Se 2.45
Tl  0.1830  0.1830  0.3660  1 Se 3.20
Tl  0.8170  0.8170  0.6340  1 Se 3.20
Te  0.3880  0.3880  0.7760  4 Mn 3.14
Te  0.6120  0.6120  0.2240  4 Mn 3.14
Se  0.0000  0.0000  0.0000  4 Mn 2.45

Values from the calculation:
space group = No. 139
formation energy (no corrections) = -148 meV per atom

---

## Hf6RuRh (GGA-PBE)

Data for an optimized crystal structure of Hf6RuRh.

Lattice parameters (Å, degrees): 6.0507 6.0340 6.0900 60.30 76.61 62.14
With the nearest neighbours (Å) after each atom.
Sites, in units of the cell vectors:
Hf  0.7480  0.4509  0.5937  1 Rh 2.66, 1 Ru 2.66
Hf  0.7480  0.0446  0.4063  1 Rh 2.66, 1 Ru 2.66
Hf  0.2520  0.9554  0.5937  1 Rh 2.66, 1 Ru 2.66
Hf  0.2520  0.5491  0.4063  1 Rh 2.66, 1 Ru 2.66
Hf  0.7504  0.7490  0.0000  1 Ru 2.58, 1 Rh 2.59
Hf  0.2496  0.2510  0.0000  1 Ru 2.58, 1 Rh 2.59
Ru  0.5000  0.5000  0.0000  6 Hf 2.58-2.66
Rh  0.0000  0.0000  0.0000  6 Hf 2.59-2.66

Values from the calculation:
space group = No. 12
VASP energy = -9.5335 eV per atom

---

## AlV3Br (GGA-PBE)

Data for an optimized crystal structure of AlV3Br.

Lattice parameters (Å, degrees): 4.4557 4.4557 4.4557 90.00 90.00 90.00
With the nearest neighbours (Å) after each atom.
Sites, in units of the cell vectors:
Al  0.5000  0.5000  0.5000  12 V 3.15
Br  0.0000  0.0000  0.0000  6 V 2.23
V  0.0000  0.5000  0.0000  2 Br 2.23
V  0.0000  0.0000  0.5000  2 Br 2.23
V  0.5000  0.0000  0.0000  2 Br 2.23

Values from the calculation:
space group = No. 221
formation energy (no corrections) = 932 meV per atom

---

## LaYRu2 (GGA-PBE)

Data for an optimized crystal structure of LaYRu2.

Lattice parameters (Å, degrees): 5.9126 5.9126 5.9126 140.03 140.03 57.81
With the nearest neighbours (Å) after each atom.
Sites, in units of the cell vectors:
La  0.7500  0.2500  0.5000  4 Ru 2.86
Ru  0.0000  0.0000  0.0000  4 Y 2.86
Ru  0.2500  0.7500  0.5000  4 La 2.86
Y  0.5000  0.5000  0.0000  4 Ru 2.86

Values from the calculation:
space group = No. 119
VASP energy = -7.4363 eV per atom